(1)
VASP calculation (PBE) on TmMg3Tl3 after structural relaxation.

## Properties
DFT total energy, eV per atom: -2.325
E above lowest polymorph, kJ/mol of formula units: 0
Space group: R-3
Formation enthalpy at 0 K, meV/atom: 11

Cell: 8.586 8.586 7.937 Å, 57.26 57.26 60.00°
Fractional coordinates of all 14 atoms:
Tm  0.333  0.333  0.000
Tm  0.667  0.667  0.000
Mg  0.453  0.776  0.660
Mg  0.776  0.111  0.660
Mg  0.111  0.453  0.660
Mg  0.889  0.547  0.340
Mg  0.224  0.889  0.340
Mg  0.547  0.224  0.340
Tl  0.258  0.621  0.183
Tl  0.938  0.258  0.183
Tl  0.621  0.938  0.183
Tl  0.379  0.062  0.817
Tl  0.062  0.742  0.817
Tl  0.742  0.379  0.817

=====

(2)
VASP calculation (PBE) on TmMgTl after structural relaxation.

## Properties
DFT total energy, eV per atom: -3.018
Space group: P3m1
Formation enthalpy at 0 K, meV/atom: -207

Cell: 3.542 4.959 4.959 Å, 120.00 90.00 90.00°
Fractional coordinates of all 3 atoms:
Tl  0.165  0.000  0.000
Tm  0.667  0.333  0.667
Mg  0.168  0.667  0.333

=====

(3)
VASP calculation (PBE) on TmMgTl3 after structural relaxation.

## Properties
DFT total energy, eV per atom: -2.715
Space group: C2/m
Formation enthalpy at 0 K, meV/atom: -82

Cell: 6.548 4.835 9.306 Å, 105.06 71.39 90.00°
Fractional coordinates of all 10 atoms:
Tm  0.131  0.396  0.791
Tm  0.869  0.604  0.209
Mg  0.467  0.201  0.402
Mg  0.533  0.799  0.598
Tl  0.752  0.005  0.009
Tl  0.248  0.995  0.991
Tl  0.370  0.603  0.206
Tl  0.630  0.397  0.794
Tl  0.046  0.797  0.595
Tl  0.954  0.203  0.405

=====

(4)
VASP calculation (PBE) on Tm2MgTl2 after structural relaxation.

## Properties
DFT total energy, eV per atom: -3.260
E above lowest polymorph, kJ/mol of formula units: 20
Space group: Cmc2_1
Formation enthalpy at 0 K, meV/atom: -206

Cell: 4.910 6.499 8.660 Å, 90.00 106.47 90.00°
Fractional coordinates of all 10 atoms:
Tm  0.985  0.773  0.970
Tm  0.806  0.385  0.612
Tm  0.194  0.885  0.388
Tm  0.015  0.273  0.030
Mg  0.388  0.059  0.776
Mg  0.612  0.559  0.224
Tl  0.423  0.517  0.845
Tl  0.807  0.901  0.613
Tl  0.193  0.401  0.387
Tl  0.577  0.017  0.155

=====

(5)
VASP calculation (PBE) on Tm8MgTl2 after structural relaxation.

## Properties
DFT total energy, eV per atom: -3.821
Space group: C2/m
Formation enthalpy at 0 K, meV/atom: 6

Cell: 5.492 8.625 8.625 Å, 118.93 102.20 102.20°
Fractional coordinates of all 11 atoms:
Tm  0.882  0.901  0.672
Tm  0.882  0.672  0.901
Tm  0.304  0.602  0.602
Tm  0.500  0.785  0.215
Tm  0.500  0.215  0.785
Tm  0.696  0.398  0.398
Tm  0.118  0.328  0.099
Tm  0.118  0.099  0.328
Mg  0.500  0.000  0.000
Tl  0.000  0.304  0.696
Tl  0.000  0.696  0.304

=====

(6)
VASP calculation (PBE) on Tm2Mg3Tl after structural relaxation.

## Properties
DFT total energy, eV per atom: -2.820
Space group: Fmmm
Formation enthalpy at 0 K, meV/atom: -138

Cell: 6.124 6.124 10.154 Å, 114.76 114.76 67.11°
Fractional coordinates of all 12 atoms:
Tm  0.750  0.250  0.500
Tm  0.749  0.251  0.000
Tm  0.250  0.750  0.500
Tm  0.251  0.749  0.000
Mg  0.833  0.833  0.165
Mg  0.667  0.667  0.835
Mg  0.167  0.167  0.835
Mg  0.333  0.333  0.165
Mg  0.166  0.166  0.333
Mg  0.834  0.834  0.667
Tl  0.666  0.666  0.332
Tl  0.334  0.334  0.668